No. 1
The following is a DFT calculation (GGA-PBE) of a geometry-optimized Na2NiIr structure.

Unit cell a=6.0680 b=6.0680 c=6.0680 alpha=98.91 beta=98.91 gamma=133.65
Closest atoms and distances in Å follow each position.
Fractional positions:
Na (0.0992, 0.6250, 0.9742)  2 Na 2.42
Na (0.3750, 0.3492, 0.4742)  2 Na 2.42
Na (0.6508, 0.1250, 0.0258)  2 Na 2.42
Na (0.8750, 0.9008, 0.5258)  2 Na 2.42
Ni (0.0000, 0.0000, 0.0000)  2 Ir 2.39
Ni (0.7500, 0.2500, 0.5000)  2 Ir 2.39
Ir (0.2500, 0.7500, 0.5000)  2 Ni 2.39
Ir (0.5000, 0.5000, 0.0000)  2 Ni 2.39

## Properties
Space-group type = I-42d, No. 122
Formation energy = 0.85 eV/atom
Distance to the lowest polymorph of the same formula = 0.0000 eV per atom
Raw total energy = -27.72 eV for the cell shown
Total moment = 0.00 Bohr magnetons per cell

No. 2
The following is a DFT calculation (GGA-PBE) of a geometry-optimized TaTl2BiO8 structure.

Unit cell a=5.0730 b=5.0730 c=6.6929 alpha=90.00 beta=90.00 gamma=92.36
Closest atoms and distances in Å follow each position.
Fractional positions:
Ta (0.0000, 0.0000, 0.0000)  6 O 1.99-2.04
Tl (0.5000, 0.5000, 0.2424)  6 O 2.22-2.35
Tl (0.5000, 0.5000, 0.7576)  6 O 2.22-2.35
Bi (0.0000, 0.0000, 0.5000)  6 O 2.10-2.21
O (0.1786, 0.8214, 0.2334)  1 Ta 2.04, 1 Bi 2.21
O (0.1786, 0.8214, 0.7666)  1 Ta 2.04, 1 Bi 2.21
O (0.2837, 0.2837, 0.0000)  1 Ta 1.99, 2 Tl 2.22
O (0.2984, 0.2984, 0.5000)  1 Bi 2.10, 2 Tl 2.23
O (0.7016, 0.7016, 0.5000)  1 Bi 2.10, 2 Tl 2.23
O (0.7163, 0.7163, 0.0000)  1 Ta 1.99, 2 Tl 2.22
O (0.8214, 0.1786, 0.2334)  1 Ta 2.04, 1 Bi 2.21
O (0.8214, 0.1786, 0.7666)  1 Ta 2.04, 1 Bi 2.21

## Properties
Space-group type = Cmmm, No. 65
Energy relative to the elements, uncorrected = -15.220 eV per formula unit
Raw total energy = -75.35 eV for the cell shown
Total moment = 0.00 Bohr magnetons per cell

No. 3
The following is a DFT calculation (GGA-PBE) of a geometry-optimized ZrTcPd2Pt structure.

Unit cell a=4.7429 b=4.7429 c=4.7542 alpha=90.00 beta=90.00 gamma=90.00
Closest atoms and distances in Å follow each position.
Fractional positions:
Zr (0.0000, 0.0000, 0.0000)  4 Pt 3.35, 8 Pd 3.36
Tc (0.5000, 0.5000, 0.5000)  4 Pd 2.37, 2 Pt 2.38
Pd (0.0000, 0.5000, 0.5000)  2 Tc 2.37
Pd (0.5000, 0.0000, 0.5000)  2 Tc 2.37
Pt (0.5000, 0.5000, 0.0000)  2 Tc 2.38

## Properties
Space-group type = P4/mmm, No. 123
Formation energy = 0.83 eV/atom
Raw total energy = -31.18 eV for the cell shown
Total moment = 0.00 Bohr magnetons per cell

No. 4
The following is a DFT calculation (GGA-PBE) of a geometry-optimized In2IrPt structure.

Unit cell a=5.3699 b=5.3699 c=5.3699 alpha=136.90 beta=136.88 gamma=62.61
Closest atoms and distances in Å follow each position.
Fractional positions:
In (0.0000, 0.0000, 0.0000)  4 Pt 2.79, 4 Ir 3.02-3.03, 4 In 3.03
In (0.7500, 0.2500, 0.5000)  4 Ir 2.79, 4 Pt 3.02-3.03, 4 In 3.03
Ir (0.2507, 0.7507, 0.5000)  8 In 2.79-3.03, 4 Pt 3.03
Pt (0.5006, 0.5006, 0.0000)  8 In 2.79-3.03, 4 Ir 3.03

## Properties
Space-group type = Imm2, No. 44
Formation energy = -0.11 eV/atom
Distance to the lowest polymorph of the same formula = 0.1097 eV per atom
Raw total energy = -20.83 eV for the cell shown
Total moment = 0.00 Bohr magnetons per cell

No. 5
The following is a DFT calculation (GGA-PBE) of a geometry-optimized Be3Co2Ir2 structure.

Unit cell a=6.2697 b=6.2697 c=6.2697 alpha=36.05 beta=36.05 gamma=36.05
Closest atoms and distances in Å follow each position.
Fractional positions:
Be (0.0000, 0.0000, 0.0000)  2 Co 2.38, 6 Ir 2.43, 6 Be 2.61
Be (0.2576, 0.2576, 0.2576)  1 Co 2.15, 4 Ir 2.27-2.28
Be (0.7424, 0.7424, 0.7424)  1 Co 2.15, 4 Ir 2.27-2.28
Co (0.1354, 0.1354, 0.1354)  2 Be 2.15-2.38
Co (0.8646, 0.8646, 0.8646)  2 Be 2.15-2.38
Ir (0.3873, 0.3873, 0.3873)  7 Be 2.27-2.43
Ir (0.6127, 0.6127, 0.6127)  7 Be 2.27-2.43

## Properties
Space-group type = R-3m, No. 166
Formation energy = -0.19 eV/atom
Raw total energy = -44.41 eV for the cell shown
Total moment = 2.70 Bohr magnetons per cell

No. 6
The following is a DFT calculation (GGA-PBE) of a geometry-optimized Li5SbS6 structure.

Unit cell a=6.6677 b=6.6677 c=6.4983 alpha=99.53 beta=99.53 gamma=124.54
Closest atoms and distances in Å follow each position.
Fractional positions:
Li (0.0000, 0.0000, 0.0000)  6 S 2.60-2.77
Li (0.1999, 0.8001, 0.5000)  4 S 2.50-2.58
Li (0.2929, 0.7071, 0.0000)  4 S 2.40-2.54
Li (0.7071, 0.2929, 0.0000)  4 S 2.40-2.54
Li (0.8001, 0.1999, 0.5000)  4 S 2.50-2.58
Sb (0.5000, 0.5000, 0.5000)  6 S 2.50-2.67
S (0.1426, 0.4425, 0.2316)  4 Li 2.40-2.60, 1 Sb 2.50
S (0.1473, 0.1473, 0.6440)  1 S 2.10
S (0.4425, 0.1426, 0.2316)  4 Li 2.40-2.60, 1 Sb 2.50
S (0.5575, 0.8574, 0.7684)  4 Li 2.40-2.60, 1 Sb 2.50
S (0.8527, 0.8527, 0.3560)  1 S 2.10
S (0.8574, 0.5575, 0.7684)  4 Li 2.40-2.60, 1 Sb 2.50

## Properties
Space-group type = C2/m, No. 12
Energy relative to the elements, uncorrected = -9.738 eV per formula unit
Raw total energy = -48.19 eV for the cell shown
Total moment = 0.00 Bohr magnetons per cell

No. 7
The following is a DFT calculation (GGA-PBE) of a geometry-optimized PuTiCd4 structure.

Unit cell a=5.7853 b=5.7853 c=5.7853 alpha=60.00 beta=60.00 gamma=60.00
Closest atoms and distances in Å follow each position.
Fractional positions:
Pu (0.0000, 0.0000, 0.0000)  12 Cd 3.39, 4 Ti 3.54
Ti (0.7500, 0.7500, 0.7500)  12 Cd 3.39, 4 Pu 3.54
Cd (0.3755, 0.3755, 0.3755)  6 Cd 2.88-2.91
Cd (0.3755, 0.3755, 0.8734)  6 Cd 2.88-2.91
Cd (0.3755, 0.8734, 0.3755)  6 Cd 2.88-2.91
Cd (0.8734, 0.3755, 0.3755)  6 Cd 2.88-2.91

## Properties
Space-group type = F-43m, No. 216
Formation energy = 0.11 eV/atom
Raw total energy = -25.25 eV for the cell shown
Total moment = 7.90 Bohr magnetons per cell

No. 8
The following is a DFT calculation (GGA-PBE) of a geometry-optimized Ba2ZrZnTe5 structure.

Unit cell a=10.4253 b=10.4253 c=13.9839 alpha=90.00 beta=90.00 gamma=155.39
Closest atoms and distances in Å follow each position.
Fractional positions:
Ba (0.1152, 0.8848, 0.5000)  7 Te 3.45-3.76
Ba (0.1255, 0.8745, 0.1227)  7 Te 3.44-3.71
Ba (0.8745, 0.1255, 0.6227)  7 Te 3.44-3.71
Ba (0.8848, 0.1152, 0.0000)  7 Te 3.45-3.76
Zr (0.2060, 0.7940, 0.8268)  6 Te 2.88-3.02
Zr (0.7940, 0.2060, 0.3268)  6 Te 2.88-3.02
Zn (0.4355, 0.5645, 0.2538)  4 Te 2.61-2.88
Zn (0.5645, 0.4355, 0.7538)  4 Te 2.61-2.88
Te (0.0618, 0.9382, 0.8622)  2 Zn 2.69, 1 Zr 2.98
Te (0.2874, 0.7126, 0.4664)  2 Zr 2.96
Te (0.3033, 0.6967, 0.1813)  1 Zn 2.88, 2 Zr 3.02
Te (0.3473, 0.6527, 0.8146)  1 Zr 2.88
Te (0.4981, 0.5019, 0.0913)  1 Zn 2.61
Te (0.5019, 0.4981, 0.5913)  1 Zn 2.61
Te (0.6527, 0.3473, 0.3146)  1 Zr 2.88
Te (0.6967, 0.3033, 0.6813)  1 Zn 2.88, 2 Zr 3.02
Te (0.7126, 0.2874, 0.9664)  2 Zr 2.96
Te (0.9382, 0.0618, 0.3622)  2 Zn 2.69, 1 Zr 2.98

## Properties
Space-group type = Cmc2_1, No. 36
Energy relative to the elements, uncorrected = -10.349 eV per formula unit
Raw total energy = -79.45 eV for the cell shown
Total moment = 0.00 Bohr magnetons per cell

No. 9
The following is a DFT calculation (GGA-PBE) of a geometry-optimized FeCuAg2 structure.

Unit cell a=2.6960 b=4.4894 c=5.1101 alpha=90.00 beta=97.79 gamma=90.00
Closest atoms and distances in Å follow each position.
Fractional positions:
Fe (0.0000, 0.0000, 0.0000)  2 Fe 2.70, 2 Cu 2.72, 4 Ag 2.73
Cu (0.5000, 0.0000, 0.5000)  4 Ag 2.70, 2 Cu 2.70, 2 Fe 2.72
Ag (0.2659, 0.5000, 0.7482)  2 Cu 2.70, 5 Ag 2.70-2.98, 2 Fe 2.73
Ag (0.7341, 0.5000, 0.2517)  2 Cu 2.70, 5 Ag 2.70-2.98, 2 Fe 2.73

## Properties
Space-group type = P2/m, No. 10
Formation energy = 0.35 eV/atom
Distance to the lowest polymorph of the same formula = 0.1354 eV per atom
Raw total energy = -16.86 eV for the cell shown
Total moment = 2.99 Bohr magnetons per cell

No. 10
The following is a DFT calculation (GGA-PBE) of a geometry-optimized TlCuCl3 structure.

Unit cell a=4.5337 b=14.0935 c=9.3925 alpha=90.00 beta=106.14 gamma=90.00
Closest atoms and distances in Å follow each position.
Fractional positions:
Tl (0.2440, 0.1629, 0.0735)  7 Cl 3.23-3.62
Tl (0.2440, 0.3371, 0.5735)  7 Cl 3.23-3.62
Tl (0.7560, 0.6629, 0.4265)  7 Cl 3.23-3.62
Tl (0.7560, 0.8371, 0.9265)  7 Cl 3.23-3.62
Cu (0.2355, 0.5522, 0.8548)  4 Cl 2.26-2.31
Cu (0.2355, 0.9478, 0.3548)  4 Cl 2.26-2.31
Cu (0.7645, 0.0522, 0.6452)  4 Cl 2.26-2.31
Cu (0.7645, 0.4478, 0.1452)  4 Cl 2.26-2.31
Cl (0.1645, 0.7016, 0.7654)  1 Cu 2.26
Cl (0.1645, 0.7984, 0.2654)  1 Cu 2.26
Cl (0.1712, 0.5048, 0.3237)  1 Cu 2.27
Cl (0.1712, 0.9952, 0.8237)  1 Cu 2.27
Cl (0.3388, 0.0967, 0.4585)  2 Cu 2.30-2.31
Cl (0.3388, 0.4033, 0.9585)  2 Cu 2.30-2.31
Cl (0.6612, 0.5967, 0.0415)  2 Cu 2.30-2.31
Cl (0.6612, 0.9033, 0.5415)  2 Cu 2.30-2.31
Cl (0.8288, 0.0048, 0.1763)  1 Cu 2.27
Cl (0.8288, 0.4952, 0.6763)  1 Cu 2.27
Cl (0.8355, 0.2016, 0.7346)  1 Cu 2.26
Cl (0.8355, 0.2984, 0.2346)  1 Cu 2.26

## Properties
Space-group type = P2_1/c, No. 14
Energy relative to the elements, uncorrected = -3.567 eV per formula unit
Raw total energy = -62.28 eV for the cell shown
Total moment = 4.09 Bohr magnetons per cell

No. 11
The following is a DFT calculation (GGA-PBE) of a geometry-optimized KMnRe2 structure.

Unit cell a=4.5643 b=4.5643 c=7.3637 alpha=92.72 beta=92.72 gamma=34.66
Closest atoms and distances in Å follow each position.
Fractional positions:
K (0.0000, 0.0000, 0.0000)  2 K 2.72
Mn (0.2343, 0.2343, 0.6502)  5 Re 2.62-2.75, 2 Mn 2.72
Re (0.5112, 0.5112, 0.4859)  5 Re 2.47-2.72, 3 Mn 2.62-2.75
Re (0.7632, 0.7632, 0.3462)  5 Re 2.47-2.72, 2 Mn 2.64

## Properties
Space-group type = Cm, No. 8
Formation energy = 0.91 eV/atom
Distance to the lowest polymorph of the same formula = 0.1450 eV per atom
Raw total energy = -31.53 eV for the cell shown
Total moment = 3.76 Bohr magnetons per cell